Entry 1:
# Ta2CuSb

A geometry-optimized Ta2CuSb structure (PBE-GGA, Alexandria).

Output
Space-group type: Pmmm (47)
ρ: 12.8 g/cm3
Formation energy from raw total energies: 99 kJ/mol of formula units

abc: 2.9723 4.1161 5.7833
angles: 90.00 90.00 90.00
Last column: nearest neighbours and their distance in Å.
Sites, in units of the cell vectors:
1 Ta 0.0000 0.0000 0.2355  3 Ta 2.72-2.97, 4 Cu 2.88, 4 Sb 2.96
2 Ta 0.0000 0.0000 0.7645  3 Ta 2.72-2.97, 4 Cu 2.88, 4 Sb 2.96
3 Cu 0.5000 0.5000 0.0000  8 Ta 2.88, 2 Sb 2.89, 2 Cu 2.97
4 Sb 0.5000 0.5000 0.5000  2 Cu 2.89, 8 Ta 2.96, 2 Sb 2.97

---

Entry 2:
# Na2PrMgF8

A geometry-optimized Na2PrMgF8 structure (PBE-GGA, Alexandria).

Output
Space-group type: P-1 (2)
ρ: 3.7 g/cm3
Formation energy from raw total energies: -3592 kJ/mol of formula units

abc: 4.1719 5.5085 7.1796
angles: 87.93 89.39 89.18
Last column: nearest neighbours and their distance in Å.
Sites, in units of the cell vectors:
1 Na 0.0131 0.0159 0.2433  6 F 2.34-2.57
2 Na 0.9869 0.9841 0.7567  6 F 2.34-2.57
3 Pr 0.5000 0.5000 0.5000  8 F 2.39-2.52
4 Mg 0.5000 0.5000 0.0000  6 F 2.02-2.10
5 F 0.0212 0.2623 0.5027  2 Na 2.34, 2 Pr 2.40-2.52, 1 F 2.62
6 F 0.0800 0.3256 0.9835  1 Mg 2.02, 1 F 2.05
7 F 0.4457 0.7417 0.2172  1 Mg 2.10
8 F 0.4497 0.7310 0.7749  1 Mg 2.03
9 F 0.5503 0.2690 0.2251  1 Mg 2.03
10 F 0.5543 0.2583 0.7828  1 Mg 2.10
11 F 0.9200 0.6744 0.0165  1 Mg 2.02, 1 F 2.05
12 F 0.9788 0.7377 0.4973  2 Na 2.34, 2 Pr 2.40-2.52, 1 F 2.62

---

Entry 3:
# Be2FeCu

A geometry-optimized Be2FeCu structure (PBE-GGA, Alexandria).

Output
Space-group type: I-4m2 (119)
Energy relative to the elements: 44.2 meV/atom
ρ: 5.9 g/cm3

abc: 3.2494 3.2494 7.3809
angles: 90.00 90.00 90.00
Last column: nearest neighbours and their distance in Å.
Sites, in units of the cell vectors:
1 Be 0.0000 0.0000 0.0000  4 Fe 2.30, 4 Be 2.46, 4 Cu 2.46
2 Be 0.0000 0.5000 0.2500  4 Cu 2.30, 4 Fe 2.46, 4 Be 2.46
3 Be 0.5000 0.0000 0.7500  4 Cu 2.30, 4 Fe 2.46, 4 Be 2.46
4 Be 0.5000 0.5000 0.5000  4 Fe 2.30, 4 Be 2.46, 4 Cu 2.46
5 Fe 0.0000 0.0000 0.5000  8 Be 2.30-2.46, 4 Cu 2.46
6 Fe 0.5000 0.5000 0.0000  8 Be 2.30-2.46, 4 Cu 2.46
7 Cu 0.0000 0.5000 0.7500  8 Be 2.30-2.46, 4 Fe 2.46
8 Cu 0.5000 0.0000 0.2500  8 Be 2.30-2.46, 4 Fe 2.46

---

Entry 4:
# Mg2ZnCu

A geometry-optimized Mg2ZnCu structure (PBE-GGA, Alexandria).

Output
Space-group type: Cmcm (63)
Energy relative to the elements: 63.0 meV/atom
ρ: 4.3 g/cm3

abc: 2.8119 20.9420 4.6561
angles: 90.00 90.00 90.00
Last column: nearest neighbours and their distance in Å.
Sites, in units of the cell vectors:
1 Mg 0.0000 0.0397 0.2500  1 Cu 2.57, 4 Mg 2.81-2.86
2 Mg 0.0000 0.2214 0.7500  4 Cu 2.64-2.81, 2 Mg 2.81
3 Mg 0.0000 0.7786 0.2500  4 Cu 2.64-2.81, 2 Mg 2.81
4 Mg 0.0000 0.9603 0.7500  1 Cu 2.57, 4 Mg 2.81-2.86
5 Mg 0.5000 0.2786 0.2500  4 Cu 2.64-2.81, 2 Mg 2.81
6 Mg 0.5000 0.4603 0.7500  1 Cu 2.57, 4 Mg 2.81-2.86
7 Mg 0.5000 0.5397 0.2500  1 Cu 2.57, 4 Mg 2.81-2.86
8 Mg 0.5000 0.7214 0.7500  4 Cu 2.64-2.81, 2 Mg 2.81
9 Zn 0.0000 0.4032 0.2500  2 Zn 2.81, 6 Mg 2.96-2.97, 4 Cu 3.05
10 Zn 0.0000 0.5968 0.7500  2 Zn 2.81, 6 Mg 2.96-2.97, 4 Cu 3.05
11 Zn 0.5000 0.0968 0.7500  2 Zn 2.81, 6 Mg 2.96-2.97, 4 Cu 3.05
12 Zn 0.5000 0.9032 0.2500  2 Zn 2.81, 6 Mg 2.96-2.97, 4 Cu 3.05
13 Cu 0.0000 0.1623 0.2500  5 Mg 2.57-2.81, 2 Cu 2.81
14 Cu 0.0000 0.8377 0.7500  5 Mg 2.57-2.81, 2 Cu 2.81
15 Cu 0.5000 0.3377 0.7500  5 Mg 2.57-2.81, 2 Cu 2.81
16 Cu 0.5000 0.6623 0.2500  5 Mg 2.57-2.81, 2 Cu 2.81

---

Entry 5:
# AcCdSnF

A geometry-optimized AcCdSnF structure (PBE-GGA, Alexandria).

Output
Space-group type: P4/nmm (129)
ρ: 8.2 g/cm3
Formation energy from raw total energies: -636 kJ/mol of formula units

abc: 4.5692 4.5692 9.2348
angles: 90.00 90.00 90.00
Last column: nearest neighbours and their distance in Å.
Sites, in units of the cell vectors:
1 Ac 0.2500 0.2500 0.1619  4 F 2.73
2 Ac 0.7500 0.7500 0.8381  4 F 2.73
3 Cd 0.2500 0.7500 0.5000  4 Sn 2.97, 4 Cd 3.23
4 Cd 0.7500 0.2500 0.5000  4 Sn 2.97, 4 Cd 3.23
5 Sn 0.2500 0.2500 0.7054  4 Cd 2.97
6 Sn 0.7500 0.7500 0.2946  4 Cd 2.97
7 F 0.2500 0.7500 0.0000  4 Ac 2.73
8 F 0.7500 0.2500 0.0000  4 Ac 2.73

---

Entry 6:
# Al2V2Ir

A geometry-optimized Al2V2Ir structure (PBE-GGA, Alexandria).

Output
Space-group type: P4/mbm (127)
Energy relative to the elements: -158.9 meV/atom
ρ: 8.2 g/cm3

abc: 6.7110 6.7110 3.1384
angles: 90.00 90.00 90.00
Last column: nearest neighbours and their distance in Å.
Sites, in units of the cell vectors:
1 Al 0.1311 0.3689 0.0000  6 V 2.47-2.56, 1 Al 2.49, 2 Ir 2.63
2 Al 0.3689 0.8689 0.0000  6 V 2.47-2.56, 1 Al 2.49, 2 Ir 2.63
3 Al 0.6311 0.1311 0.0000  6 V 2.47-2.56, 1 Al 2.49, 2 Ir 2.63
4 Al 0.8689 0.6311 0.0000  6 V 2.47-2.56, 1 Al 2.49, 2 Ir 2.63
5 V 0.1682 0.6682 0.5000  6 Al 2.47-2.56
6 V 0.3318 0.1682 0.5000  6 Al 2.47-2.56
7 V 0.6682 0.8318 0.5000  6 Al 2.47-2.56
8 V 0.8318 0.3318 0.5000  6 Al 2.47-2.56
9 Ir 0.0000 0.0000 0.0000  4 Al 2.63
10 Ir 0.5000 0.5000 0.0000  4 Al 2.63

---

Entry 7:
# MnVPt

A geometry-optimized MnVPt structure (PBE-GGA, Alexandria).

Output
Energy above the lowest structure with this stoichiometry: 0.022 eV per atom
Space-group type: Pmmn (59)
Energy relative to the elements: -190.2 meV/atom
ρ: 12.4 g/cm3

abc: 2.7093 3.5014 8.4856
angles: 90.00 90.00 90.00
Last column: nearest neighbours and their distance in Å.
Sites, in units of the cell vectors:
1 Mn 0.2500 0.2500 0.0578  6 Mn 2.42-2.71, 1 Pt 2.55
2 Mn 0.7500 0.7500 0.9422  6 Mn 2.42-2.71, 1 Pt 2.55
3 V 0.2500 0.2500 0.4132  5 Pt 2.64-2.92, 6 V 2.66-2.71
4 V 0.7500 0.7500 0.5868  5 Pt 2.64-2.92, 6 V 2.66-2.71
5 Pt 0.2500 0.2500 0.7569  5 Mn 2.55-2.72, 4 V 2.64, 2 Pt 2.71
6 Pt 0.7500 0.7500 0.2431  5 Mn 2.55-2.72, 4 V 2.64, 2 Pt 2.71

---

Entry 8:
# Ac2TbV

A geometry-optimized Ac2TbV structure (PBE-GGA, Alexandria).

Output
Space-group type: R-3m (166)
Energy relative to the elements: 752.7 meV/atom
ρ: 7.7 g/cm3

abc: 3.6802 3.6802 36.4809
angles: 90.00 90.00 120.00
Last column: nearest neighbours and their distance in Å.
Sites, in units of the cell vectors:
1 Ac 0.0000 0.0000 0.0828  1 V 3.02
2 Ac 0.0000 0.0000 0.9172  1 V 3.02
3 Ac 0.3333 0.6667 0.5839  1 V 3.02
4 Ac 0.3333 0.6667 0.7495  1 V 3.02
5 Ac 0.6667 0.3333 0.2505  1 V 3.02
6 Ac 0.6667 0.3333 0.4161  1 V 3.02
7 Tb 0.0000 0.0000 0.5000  6 Tb 3.68, 6 Ac 3.73
8 Tb 0.3333 0.6667 0.1667  6 Tb 3.68, 6 Ac 3.73
9 Tb 0.6667 0.3333 0.8333  6 Tb 3.68, 6 Ac 3.73
10 V 0.0000 0.0000 0.0000  2 Ac 3.02
11 V 0.3333 0.6667 0.6667  2 Ac 3.02
12 V 0.6667 0.3333 0.3333  2 Ac 3.02